Record 1
Zr4In2BN | PBE-GGA | relaxed

Summary:
E_tot: -7.5893 eV per atom

Cell: 3.4007 3.4007 15.0005 Å, 90.00 90.00 120.00°
Space group P-3m1 (No. 164)
Inequivalent atoms, fractional coordinates:
Zr1 0.3333 0.6667 0.0868
Zr2 0.3333 0.6667 0.4202
In1 0.3333 0.6667 0.7448
B1 0.0000 0.0000 0.0000
N1 0.0000 0.0000 0.5000



Record 2
NbInB4 | PBE-GGA | relaxed

Summary:
E_tot: -6.7155 eV per atom

Cell: 3.0772 3.0772 8.2983 Å, 90.00 90.00 120.00°
Space group P6/mmm (No. 191)
Inequivalent atoms, fractional coordinates:
Nb1 0.0000 0.0000 0.0000
In1 0.0000 0.0000 0.5000
B1 0.3333 0.6667 0.2006



Record 3
NbInB4 | PBE-GGA | relaxed

Summary:
E_tot: -6.7155 eV per atom

Cell: 3.0773 3.0773 8.2950 Å, 90.00 90.00 120.00°
Space group P6/mmm (No. 191)
Inequivalent atoms, fractional coordinates:
Nb1 0.0000 0.0000 0.0000
In1 0.0000 0.0000 0.5000
B1 0.3333 0.6667 0.2006



Record 4
Nb2InB2 | PBE-GGA | relaxed

Summary:
E_tot: -7.6429 eV per atom

Cell: 3.028 14.440 3.198 Å, 90.00 90.00 90.00°
Space group Cmmm (No. 65)
Inequivalent atoms, fractional coordinates:
Nb1 0.000 0.156 0.000
In1 0.000 0.500 0.500
B1 0.000 0.278 0.500